# 1
# CsScSbI2

A geometry-optimized CsScSbI2 structure (PBE, Alexandria via LeMat-Bulk).

Cell: 5.9763 5.9763 5.6892 Å, 90.00 90.00 90.00°
Last column: nearest neighbours and their distance in Å.
Sites, in units of the cell vectors:
Sc: 0.0000 0.0000 0.0000  2 Sb 2.84, 4 I 2.99
Cs: 0.5000 0.5000 0.5000  8 I 4.13, 4 Sb 4.23
I: 0.0000 0.5000 0.0000  2 Sc 2.99
I: 0.5000 0.0000 0.0000  2 Sc 2.99
Sb: 0.0000 0.0000 0.5000  2 Sc 2.84

- crystal system = tetragonal
- formation energy (no corrections) (meV per atom) = -844
- space group = P4/mmm
- total magnetization (μB/f.u.) = 0.87
- total energy (eV/atom) = -3.7260



# 2
# CsScSbI6

A geometry-optimized CsScSbI6 structure (PBE, Alexandria via LeMat-Bulk).

Cell: 8.0307 8.0307 8.2144 Å, 90.00 90.00 60.00°
Last column: nearest neighbours and their distance in Å.
Sites, in units of the cell vectors:
I: 0.4039 0.6144 0.2849  1 Sc 2.94, 1 Sb 3.13
I: 0.9816 0.6144 0.7150  1 Sc 2.94, 1 Sb 3.13
I: 0.6144 0.4040 0.7150  1 Sc 2.94, 1 Sb 3.13
I: 0.6144 0.9816 0.2850  1 Sc 2.94, 1 Sb 3.13
I: 0.9816 0.4039 0.2849  1 Sc 2.94, 1 Sb 3.13
I: 0.4039 0.9817 0.7150  1 Sc 2.94, 1 Sb 3.13
Sb: 0.3333 0.3333 0.5000  6 I 3.13
Cs: 0.0000 0.0000 0.0000  6 I 3.94
Sc: 0.6667 0.6667 0.5000  6 I 2.94

- crystal system = trigonal
- formation energy (no corrections) (meV per atom) = -874
- space group = P312
- total magnetization (μB/f.u.) = 1.07
- total energy (eV/atom) = -3.1634



# 3
# CsScSbI2

A geometry-optimized CsScSbI2 structure (PBE, Alexandria via LeMat-Bulk).

Cell: 6.7861 6.7861 6.4257 Å, 90.00 90.00 90.00°
Last column: nearest neighbours and their distance in Å.
Sites, in units of the cell vectors:
I: 0.5000 0.0000 0.0000  2 Cs 3.39
I: 0.0000 0.5000 0.0000  2 Cs 3.39
Sb: 0.0000 0.0000 0.5000  2 Cs 3.21
Cs: 0.0000 0.0000 0.0000  2 Sb 3.21, 4 I 3.39
Sc: 0.5000 0.5000 0.5000  8 I 4.67, 4 Sb 4.80

- crystal system = tetragonal
- formation energy (no corrections) (meV per atom) = 653
- space group = P4/mmm
- total magnetization (μB/f.u.) = 2.40
- total energy (eV/atom) = -2.2288



# 4
# Cs2ScSbI6

A geometry-optimized Cs2ScSbI6 structure (PBE, Alexandria via LeMat-Bulk).

Cell: 8.4277 8.4277 9.1311 Å, 62.52 62.52 90.00°
Last column: nearest neighbours and their distance in Å.
Sites, in units of the cell vectors:
I: 0.7448 0.7448 0.0000  1 Sc 2.92, 1 Sb 3.04
I: 0.2909 0.2909 0.4183  1 Sc 2.89
I: 0.7448 0.2552 0.0000  1 Sc 2.92, 1 Sb 3.04
I: 0.2552 0.2552 0.0000  1 Sc 2.92, 1 Sb 3.04
I: 0.2552 0.7448 0.0000  1 Sc 2.92, 1 Sb 3.04
I: 0.7091 0.7091 0.5817  1 Sc 2.89
Sc: 0.5000 0.5000 0.0000  6 I 2.89-2.92
Cs: 0.2500 0.7500 0.5000  12 I 4.25-4.57
Cs: 0.7500 0.2500 0.5000  12 I 4.25-4.57
Sb: 0.0000 0.0000 0.0000  4 I 3.04

- crystal system = tetragonal
- formation energy (no corrections) (meV per atom) = -973
- space group = I4/mmm
- total magnetization (μB/f.u.) = 0.00
- total energy (eV/atom) = -3.1189



# 5
# Cs2SbSeI6

A geometry-optimized Cs2SbSeI6 structure (PBE, Alexandria via LeMat-Bulk).

Cell: 8.6636 8.6636 8.5812 Å, 59.68 59.68 90.00°
Last column: nearest neighbours and their distance in Å.
Sites, in units of the cell vectors:
I: 0.2465 0.2465 0.0000  1 Sb 3.02, 1 Se 3.11
I: 0.2465 0.7535 0.0000  1 Sb 3.02, 1 Se 3.11
I: 0.7535 0.7535 0.0000  1 Sb 3.02, 1 Se 3.11
I: 0.2522 0.2522 0.4956  1 Se 2.98, 1 Sb 3.03
I: 0.7535 0.2465 0.0000  1 Sb 3.02, 1 Se 3.11
I: 0.7478 0.7478 0.5044  1 Se 2.98, 1 Sb 3.03
Cs: 0.2500 0.7500 0.5000  12 I 4.29-4.33
Cs: 0.7500 0.2500 0.5000  12 I 4.29-4.33
Sb: 0.0000 0.0000 0.0000  6 I 3.02-3.03
Se: 0.5000 0.5000 0.0000  6 I 2.98-3.11

- crystal system = tetragonal
- formation energy (no corrections) (meV per atom) = -688
- space group = I4/mmm
- total magnetization (μB/f.u.) = 0.00
- total energy (eV/atom) = -2.5498



# 6
# Cs2SiSbI6

A geometry-optimized Cs2SiSbI6 structure (PBE, Alexandria via LeMat-Bulk).

Cell: 8.5229 8.5229 8.5295 Å, 60.03 60.03 90.00°
Last column: nearest neighbours and their distance in Å.
Sites, in units of the cell vectors:
I: 0.7425 0.7425 0.5151  1 Si 2.93, 1 Sb 3.11
I: 0.2579 0.7421 0.0000  1 Si 2.92, 1 Sb 3.11
I: 0.7421 0.7421 0.0000  1 Si 2.92, 1 Sb 3.11
I: 0.2579 0.2579 0.0000  1 Si 2.92, 1 Sb 3.11
I: 0.7421 0.2579 0.0000  1 Si 2.92, 1 Sb 3.11
I: 0.2575 0.2575 0.4849  1 Si 2.93, 1 Sb 3.11
Cs: 0.7500 0.2500 0.5000  12 I 4.26-4.27
Cs: 0.2500 0.7500 0.5000  12 I 4.26-4.27
Sb: 0.0000 0.0000 0.0000  6 I 3.11
Si: 0.5000 0.5000 0.0000  6 I 2.92-2.93

- crystal system = tetragonal
- formation energy (no corrections) (meV per atom) = -700
- space group = I4/mmm
- total magnetization (μB/f.u.) = 0.00
- total energy (eV/atom) = -2.7550



# 7
# Cs2SnSbI6

A geometry-optimized Cs2SnSbI6 structure (PBE, Alexandria via LeMat-Bulk).

Cell: 8.8100 8.8100 8.8191 Å, 60.03 60.03 90.00°
Last column: nearest neighbours and their distance in Å.
Sites, in units of the cell vectors:
I: 0.7516 0.7516 0.4968  1 Sb 3.10, 1 Sn 3.14
I: 0.2486 0.7514 0.0000  1 Sb 3.10, 1 Sn 3.13
I: 0.2484 0.2484 0.5032  1 Sb 3.10, 1 Sn 3.14
I: 0.2486 0.2486 0.0000  1 Sb 3.10, 1 Sn 3.13
I: 0.7514 0.7514 0.0000  1 Sb 3.10, 1 Sn 3.13
I: 0.7514 0.2486 0.0000  1 Sb 3.10, 1 Sn 3.13
Sb: 0.0000 0.0000 0.0000  6 I 3.10
Cs: 0.7500 0.2500 0.5000  12 I 4.41
Cs: 0.2500 0.7500 0.5000  12 I 4.41
Sn: 0.5000 0.5000 0.0000  6 I 3.13-3.14

- crystal system = tetragonal
- formation energy (no corrections) (meV per atom) = -819
- space group = I4/mmm
- total magnetization (μB/f.u.) = 0.00
- total energy (eV/atom) = -2.7320



# 8
# CsSnSbI6

A geometry-optimized CsSnSbI6 structure (PBE, Alexandria via LeMat-Bulk).

Cell: 8.0954 8.0954 8.6067 Å, 90.00 90.00 59.99°
Last column: nearest neighbours and their distance in Å.
Sites, in units of the cell vectors:
I: 0.3665 0.6193 0.2882  1 Sb 3.06, 1 Sn 3.21
I: 0.0142 0.3664 0.2882  1 Sb 3.06, 1 Sn 3.21
I: 0.0140 0.6196 0.7116  1 Sb 3.06, 1 Sn 3.21
I: 0.6195 0.0141 0.2883  1 Sb 3.06, 1 Sn 3.21
I: 0.3664 0.0142 0.7118  1 Sb 3.06, 1 Sn 3.21
I: 0.6193 0.3665 0.7118  1 Sb 3.06, 1 Sn 3.21
Sb: 0.3333 0.3333 0.5000  6 I 3.06
Cs: 0.0000 0.0000 0.0000  6 I 3.91
Sn: 0.6666 0.6666 0.5000  6 I 3.21

- crystal system = trigonal
- formation energy (no corrections) (meV per atom) = -665
- space group = P312
- total magnetization (μB/f.u.) = 0.00
- total energy (eV/atom) = -2.6963



# 9
# CsSnSb2I

A geometry-optimized CsSnSb2I structure (PBE, Alexandria via LeMat-Bulk).

Cell: 6.3138 6.3138 6.6436 Å, 90.00 90.00 90.00°
Last column: nearest neighbours and their distance in Å.
Sites, in units of the cell vectors:
I: 0.0000 0.0000 0.5000  2 Cs 3.32
Cs: 0.0000 0.0000 0.0000  4 Sb 3.16, 2 I 3.32
Sn: 0.5000 0.5000 0.5000  4 I 4.46, 8 Sb 4.58
Sb: 0.5000 0.0000 0.0000  2 Cs 3.16
Sb: 0.0000 0.5000 0.0000  2 Cs 3.16

- crystal system = tetragonal
- formation energy (no corrections) (meV per atom) = 1065
- space group = P4/mmm
- total magnetization (μB/f.u.) = 1.40
- total energy (eV/atom) = -1.8649



# 10
# CsSnSb2I

A geometry-optimized CsSnSb2I structure (PBE, Alexandria via LeMat-Bulk).

Cell: 5.7636 5.7636 6.7642 Å, 90.00 90.00 90.00°
Last column: nearest neighbours and their distance in Å.
Sites, in units of the cell vectors:
Sb: 0.0000 0.5000 0.0000  2 Sn 2.88
Sb: 0.5000 0.0000 0.0000  2 Sn 2.88
Cs: 0.5000 0.5000 0.5000  4 I 4.08, 8 Sb 4.44
Sn: 0.0000 0.0000 0.0000  4 Sb 2.88
I: 0.0000 0.0000 0.5000  2 Sn 3.38

- crystal system = tetragonal
- formation energy (no corrections) (meV per atom) = -38
- space group = P4/mmm
- total magnetization (μB/f.u.) = 0.99
- total energy (eV/atom) = -2.9685



# 11
# Cs2SrSbI6

A geometry-optimized Cs2SrSbI6 structure (PBE, Alexandria via LeMat-Bulk).

Cell: 9.8187 9.2577 12.3427 Å, 90.00 90.00 90.00°
Last column: nearest neighbours and their distance in Å.
Sites, in units of the cell vectors:
I: 0.7533 0.9047 0.5000  1 Sr 3.22
I: 0.2533 0.0953 0.0000  1 Sr 3.22
I: 0.0000 0.7028 0.7654  1 Sb 2.99, 1 Sr 3.29
I: 0.5000 0.2972 0.2654  1 Sb 2.99, 1 Sr 3.29
I: 0.1919 0.3760 0.5000  1 Sb 3.03, 1 Sr 3.35
I: 0.7467 0.0953 0.0000  1 Sr 3.22
I: 0.2467 0.9047 0.5000  1 Sr 3.22
I: 0.6919 0.6240 0.0000  1 Sb 3.03, 1 Sr 3.35
I: 0.0000 0.7028 0.2346  1 Sb 2.99, 1 Sr 3.29
I: 0.8081 0.3760 0.5000  1 Sb 3.03, 1 Sr 3.35
I: 0.3081 0.6240 0.0000  1 Sb 3.03, 1 Sr 3.35
I: 0.5000 0.2972 0.7346  1 Sb 2.99, 1 Sr 3.29
Sb: 0.5000 0.3796 0.5000  4 I 2.99-3.03
Sb: 0.0000 0.6204 0.0000  4 I 2.99-3.03
Cs: 0.5000 0.8636 0.2383  7 I 4.03-4.37
Cs: 0.0000 0.1364 0.2617  7 I 4.03-4.37
Cs: 0.5000 0.8636 0.7617  7 I 4.03-4.37
Cs: 0.0000 0.1364 0.7383  7 I 4.03-4.37
Sr: 0.5000 0.3250 0.0000  6 I 3.22-3.35
Sr: 0.0000 0.6750 0.5000  6 I 3.22-3.35

- crystal system = orthorhombic
- formation energy (no corrections) (meV per atom) = -1113
- space group = Pmmn
- total magnetization (μB/f.u.) = 1.00
- total energy (eV/atom) = -2.7947



# 12
# CsSrSb2I

A geometry-optimized CsSrSb2I structure (PBE, Alexandria via LeMat-Bulk).

Cell: 6.1696 6.1696 6.7239 Å, 90.00 90.00 90.00°
Last column: nearest neighbours and their distance in Å.
Sites, in units of the cell vectors:
Sr: 0.5000 0.5000 0.5000  4 I 4.36, 8 Sb 4.56
Sb: 0.5000 0.0000 0.0000  2 Cs 3.08
Sb: 0.0000 0.5000 0.0000  2 Cs 3.08
Cs: 0.0000 0.0000 0.0000  4 Sb 3.08, 2 I 3.36
I: 0.0000 0.0000 0.5000  2 Cs 3.36

- crystal system = tetragonal
- formation energy (no corrections) (meV per atom) = 354
- space group = P4/mmm
- total magnetization (μB/f.u.) = 0.67
- total energy (eV/atom) = -2.1119



Q: Which formula does entry 8 have?
A: CsSnSbI6



Q: What is the formula in the twelfth record?
A: CsSrSb2I



What did the sixth record say?
# Cs2SiSbI6

A geometry-optimized Cs2SiSbI6 structure (PBE, Alexandria via LeMat-Bulk).

Cell: 8.5229 8.5229 8.5295 Å, 60.03 60.03 90.00°
Last column: nearest neighbours and their distance in Å.
Sites, in units of the cell vectors:
I: 0.7425 0.7425 0.5151  1 Si 2.93, 1 Sb 3.11
I: 0.2579 0.7421 0.0000  1 Si 2.92, 1 Sb 3.11
I: 0.7421 0.7421 0.0000  1 Si 2.92, 1 Sb 3.11
I: 0.2579 0.2579 0.0000  1 Si 2.92, 1 Sb 3.11
I: 0.7421 0.2579 0.0000  1 Si 2.92, 1 Sb 3.11
I: 0.2575 0.2575 0.4849  1 Si 2.93, 1 Sb 3.11
Cs: 0.7500 0.2500 0.5000  12 I 4.26-4.27
Cs: 0.2500 0.7500 0.5000  12 I 4.26-4.27
Sb: 0.0000 0.0000 0.0000  6 I 3.11
Si: 0.5000 0.5000 0.0000  6 I 2.92-2.93

- crystal system = tetragonal
- formation energy (no corrections) (meV per atom) = -700
- space group = I4/mmm
- total magnetization (μB/f.u.) = 0.00
- total energy (eV/atom) = -2.7550



Q: total energy of number 5 (Cs2SbSeI6)?
A: -2.5498 eV/atom